# 1
BaLi3In | PBE-GGA | relaxed

a b c (Å): 7.0161 7.0161 6.6926
angles (deg): 90.00 90.00 120.00
Last column: nearest neighbours and their distance in Å.
Atoms (fractional coordinates):
Ba 0.3333 0.6667 0.2500  12 Li 3.52-3.80
Ba 0.6667 0.3333 0.7500  12 Li 3.52-3.80
Li 0.1856 0.3713 0.7500  2 In 2.81, 2 Li 3.11
Li 0.1856 0.8144 0.7500  2 In 2.81, 2 Li 3.11
Li 0.3713 0.1856 0.2500  2 In 2.81, 2 Li 3.11
Li 0.6287 0.8144 0.7500  2 In 2.81, 2 Li 3.11
Li 0.8144 0.1856 0.2500  2 In 2.81, 2 Li 3.11
Li 0.8144 0.6287 0.2500  2 In 2.81, 2 Li 3.11
In 0.0000 0.0000 0.0000  6 Li 2.81
In 0.0000 0.0000 0.5000  6 Li 2.81

=====

# 2
AcPr3Rh3 | PBE-GGA | relaxed

a b c (Å): 6.2286 6.2286 6.2286
angles (deg): 109.84 109.84 109.84
Last column: nearest neighbours and their distance in Å.
Atoms (fractional coordinates):
Ac 0.0000 0.0000 0.0000  6 Rh 3.00-3.29
Pr 0.4240 0.4240 0.8522  6 Rh 2.96-3.30
Pr 0.4240 0.8522 0.4240  6 Rh 2.96-3.30
Pr 0.8522 0.4240 0.4240  6 Rh 2.96-3.30
Rh 0.4220 0.9197 0.9197  6 Pr 2.96-3.30, 2 Ac 3.00-3.29
Rh 0.9197 0.4220 0.9197  6 Pr 2.96-3.30, 2 Ac 3.00-3.29
Rh 0.9197 0.9197 0.4220  6 Pr 2.96-3.30, 2 Ac 3.00-3.29

=====

# 3
KCrCd | PBE-GGA | relaxed

a b c (Å): 5.0931 5.0931 4.2660
angles (deg): 90.00 90.00 120.00
Last column: nearest neighbours and their distance in Å.
Atoms (fractional coordinates):
K 0.0000 0.0000 0.0000  6 Cr 3.63-3.64, 6 Cd 3.63
Cr 0.6667 0.3333 0.5013  3 Cd 2.94
Cd 0.3333 0.6667 0.4996  3 Cr 2.94

=====

These records have offset from the most stable computed form values of 0.035 0.038 0.085 eV/atom, in the order they appear.
These records have calculated formation energy values of -0.5 -3.6 2.0 eV per formula unit, in the order they appear.
These records have E values of -21.74 -44.08 -9.63 eV/cell, in the order they appear.